NaZrCuTe3: relaxed, GGA-PBE.

a b c (Å): 4.0272 14.7239 10.8430
angles (deg): 90.00 90.00 90.00
Space group Cmcm (No. 63)
Asymmetric unit:
Na1 0.0000 0.2414 0.2500 [4 per cell]
Zr1 0.0000 0.0000 0.0000 [4 per cell]
Cu1 0.0000 0.4690 0.7500 [4 per cell]
Te1 0.0000 0.0826 0.7500 [4 per cell]
Te2 0.0000 0.3628 0.5581 [8 per cell]

Results
Its crystal system is orthorhombic. For the total energy, the calculation gives -4.554 eV per atom. The value obtained for the total magnetization is 0.0 μB per formula unit. As for the energy above the most stable polymorph in this dataset: 0.011 eV/atom.

TbY2Sn3Pb4: relaxed, GGA-PBE.

a b c (Å): 4.5353 26.8180 4.4971
angles (deg): 90.00 90.00 90.00
Space group Cmmm (No. 65)
Asymmetric unit:
Tb1 0.0000 0.0000 0.0000 [2 per cell]
Y1 0.0000 0.3110 0.5000 [4 per cell]
Sn1 0.0000 0.4039 0.0000 [4 per cell]
Sn2 0.0000 0.5000 0.5000 [2 per cell]
Pb1 0.0000 0.0962 0.5000 [4 per cell]
Pb2 0.0000 0.2089 0.0000 [4 per cell]

Results
Its crystal system is orthorhombic. For the total energy, the calculation gives -4.859 eV per atom. The value obtained for the total magnetization is 0.0 μB per formula unit. As for the energy above the most stable polymorph in this dataset: 0.018 eV/atom.

Ta4GePbC2: relaxed, GGA-PBE.

a b c (Å): 3.2730 3.2730 13.3154
angles (deg): 90.00 90.00 120.00
Space group P-6m2 (No. 187)
Asymmetric unit:
Ta1 0.0000 0.0000 0.1478 [2 per cell]
Ta2 0.3333 0.6667 0.3186 [2 per cell]
Ge1 0.3333 0.6667 0.0000 [1 per cell]
Pb1 0.0000 0.0000 0.5000 [1 per cell]
C1 0.6667 0.3333 0.2349 [2 per cell]

Results
Its crystal system is hexagonal. For the total energy, the calculation gives -9.592 eV per atom. The value obtained for the total magnetization is 0.0 μB per formula unit.